--- A ---
Density functional theory data (PBE) for CuS2Cl after structural relaxation.

Results
Its space-group type is No. 122.

Cell lengths 6.091, 6.091, 6.380 Å; angles 61.49, 61.49, 90.00 degrees
Fractional positions:
S (0.702, 0.125, 0.250)
S (0.048, 0.625, 0.250)
S (0.375, 0.298, 0.750)
S (0.875, 0.952, 0.750)
Cu (0.000, 0.000, 0.000)
Cu (0.750, 0.250, 0.500)
Cl (0.500, 0.500, 0.000)
Cl (0.250, 0.750, 0.500)

=====

--- B ---
Density functional theory data (PBE) for CuS2Cl after structural relaxation.

Results
Its space-group type is No. 14.

Cell lengths 4.797, 7.448, 11.358 Å; angles 97.75, 90.00, 90.00 degrees
Fractional positions:
Cu (0.327, 0.066, 0.249)
Cu (0.827, 0.434, 0.251)
Cu (0.673, 0.934, 0.751)
Cu (0.173, 0.566, 0.749)
S (0.486, 0.358, 0.672)
S (0.986, 0.142, 0.828)
S (0.514, 0.642, 0.328)
S (0.014, 0.858, 0.172)
S (0.359, 0.109, 0.673)
S (0.859, 0.391, 0.827)
S (0.641, 0.891, 0.327)
S (0.141, 0.609, 0.173)
Cl (0.576, 0.226, 0.125)
Cl (0.076, 0.274, 0.375)
Cl (0.424, 0.774, 0.875)
Cl (0.924, 0.726, 0.625)

=====

Energies relative to the minimum, meV per atom: A 704; B 0

=====

--- A ---
Density functional theory data (PBE) for La2ReW after structural relaxation.

Results
Its space-group type is No. 12.

Cell lengths 5.940, 5.940, 3.031 Å; angles 77.93, 77.93, 119.13 degrees
Fractional positions:
La (0.000, 0.000, 0.000)
La (0.500, 0.500, 0.000)
Re (0.500, 0.000, 0.500)
W (0.000, 0.500, 0.500)

=====

--- B ---
Density functional theory data (PBE) for La2ReW after structural relaxation.

Results
Its space-group type is No. 123.

Cell lengths 2.864, 2.864, 10.641 Å; angles 90.00, 90.00, 90.00 degrees
Fractional positions:
La (0.000, 0.000, 0.005)
La (0.000, 0.000, 0.495)
Re (0.500, 0.500, 0.250)
W (0.500, 0.500, 0.750)

=====

Energies relative to the minimum, meV per atom: A 0; B 56